VASP calculation (GGA-PBEsol) on crystalline BeHg2Pb at its relaxed geometry.

Calculated values
**M_tot**: 0.00 μB per formula unit
**Energy above the most stable polymorph in this dataset**: 0.000 eV per atom
**Calculated total energy**: -8.092 eV/f.u.
**Energy of formation**: 260.1 meV/atom

abc: 3.437 4.734 6.161
angles: 112.84 90.00 90.00
Sites, in units of the cell vectors:
Pb  0.000  0.417  0.835
Be  0.500  0.231  0.463
Hg  0.000  0.084  0.164
Hg  0.500  0.768  0.537